[1]
This record from the Alexandria database describes TlNiAg2 after structural relaxation. The functional is GGA-PBE.

Summary:
For the energy relative to the lowest polymorph listed for this composition, the calculation gives 0.1950 eV/atom. Its crystal system is trigonal.

abc: 3.0773 3.0773 28.0282
angles: 90.00 90.00 120.00
Last column: nearest neighbours and their distance in Å.
Space group R-3m (No. 166, hexagonal axes)
Symmetry-distinct sites (fractional):
Tl 0.0000 0.0000 0.0000 [3 per cell]  6 Tl 3.08, 6 Ag 3.21
Ni 0.0000 0.0000 0.5000 [3 per cell]  6 Ag 2.68
Ag 0.0000 0.0000 0.2380 [6 per cell]  3 Ni 2.68

[2]
This record from the Alexandria database describes Sr3CaRu2O9 after structural relaxation. The functional is GGA-PBE.

Summary:
The raw formation energy comes out at -2061 meV per atom. Its crystal system is monoclinic.

abc: 14.1480 5.8121 9.9722
angles: 90.00 90.14 90.00
Last column: nearest neighbours and their distance in Å.
Space group P2_1/c (No. 14)
Symmetry-distinct sites (fractional):
Sr 0.0826 0.0371 0.3318 [4 per cell]  5 O 2.48-2.76
Sr 0.2524 0.5435 0.5076 [4 per cell]  7 O 2.51-2.78
Sr 0.4115 0.0391 0.6668 [4 per cell]  6 O 2.51-2.79
Ca 0.0000 0.0000 0.0000 [2 per cell]  6 O 2.25-2.28
Ca 0.5000 0.0000 0.0000 [2 per cell]  6 O 2.27-2.28
Ru 0.1684 0.5022 0.1725 [4 per cell]  6 O 1.90-2.12
Ru 0.3310 0.0058 0.3389 [4 per cell]  5 O 1.90-2.08
O 0.0690 0.1949 0.6043 [4 per cell]  1 Ru 1.94
O 0.0937 0.7305 0.6297 [4 per cell]  1 Ru 1.93
O 0.1172 0.0182 0.8480 [4 per cell]  1 Ru 1.90
O 0.2240 0.5179 0.9753 [4 per cell]  2 Ru 2.04-2.12
O 0.2502 0.2123 0.2121 [4 per cell]  2 Ru 2.08
O 0.2760 0.7105 0.2375 [4 per cell]  2 Ru 2.05-2.14
O 0.3804 0.2286 0.9262 [4 per cell]  1 Ru 1.90
O 0.4056 0.6954 0.9495 [4 per cell]  1 Ru 1.92
O 0.4301 0.0165 0.2055 [4 per cell]  1 Ru 1.94

[3]
This record from the Alexandria database describes Cs2FeBr after structural relaxation. The functional is GGA-PBE.

Summary:
The raw formation energy comes out at 30 meV per atom. Its crystal system is cubic.

abc: 8.9758 8.9758 8.9758
angles: 90.00 90.00 90.00
Last column: nearest neighbours and their distance in Å.
Space group Fm-3m (No. 225)
Symmetry-distinct sites (fractional):
Cs 0.2500 0.2500 0.2500 [8 per cell]  4 Fe 3.89, 4 Br 3.89
Fe 0.0000 0.0000 0.0000 [4 per cell]  8 Cs 3.89
Br 0.0000 0.0000 0.5000 [4 per cell]  8 Cs 3.89

[4]
This record from the Alexandria database describes YPu3Pa2N6 after structural relaxation. The functional is GGA-PBE.

Summary:
The raw formation energy comes out at -1475 meV per atom. Its crystal system is monoclinic.

abc: 6.0718 10.5121 6.0518
angles: 90.00 109.53 90.00
Last column: nearest neighbours and their distance in Å.
Space group C2/m (No. 12)
Symmetry-distinct sites (fractional):
Y 0.0000 0.0000 0.0000 [2 per cell]  6 N 2.47-2.48
Pu 0.0000 0.1646 0.5000 [4 per cell]  6 N 2.49-2.54
Pu 0.0000 0.5000 0.5000 [2 per cell]  6 N 2.48-2.54
Pa 0.0000 0.3331 0.0000 [4 per cell]  6 N 2.42
N 0.2379 0.5000 0.2374 [4 per cell]  2 Pa 2.42, 1 Y 2.47, 3 Pu 2.48-2.52
N 0.2502 0.1707 0.2380 [8 per cell]  2 Pa 2.42, 1 Y 2.48, 3 Pu 2.49-2.54

M_tot readings, ordered: 0.0001, 0.3971, 0.7500, 1.3315 μB/atom